i:
This record from Alexandria describes BaLiBr2 after structural relaxation. The functional is GGA-PBE.

The space group is Cmmm (No. 65) and the conventional cell measures 3.998, 8.231 and 8.898 Å, with angles of 90.00, 90.00 and 90.00 degrees. The asymmetric unit holds Ba at (0.000, 0.000, 0.000), Li at (0.000, 0.000, 0.500) and Br at (0.000, 0.500, 0.299).

***

ii:
This record from Alexandria describes BaLiBr2 after structural relaxation. The functional is GGA-PBE.

The space group is Pmmm (No. 47) and the conventional cell measures 4.001, 4.266 and 7.307 Å, with angles of 90.00, 90.00 and 90.00 degrees. The asymmetric unit holds Ba at (0.000, 0.000, 0.000), Li at (0.000, 0.500, 0.500) and Br at (0.500, 0.500, 0.247).

***

It turns out ii is the most stable, with the second structure 2.0 kJ/mol of atoms higher.

***

i:
This record from Alexandria describes Ba2LiBr2 after structural relaxation. The functional is GGA-PBE.

The space group is I4/mmm (No. 139) and the conventional cell measures 5.317, 5.317 and 16.446 Å, with angles of 90.00, 90.00 and 90.00 degrees. The asymmetric unit holds Ba at (0.000, 0.000, 0.132), Li at (0.000, 0.000, 0.500) and Br at (0.000, 0.500, 0.250).

***

ii:
This record from Alexandria describes Ba2LiBr2 after structural relaxation. The functional is GGA-PBE.

The space group is P4/mbm (No. 127) and the conventional cell measures 9.325, 9.325 and 4.119 Å, with angles of 90.00, 90.00 and 90.00 degrees. The asymmetric unit holds Ba at (0.169, 0.331, 0.000), Li at (0.000, 0.000, 0.500) and Br at (0.131, 0.631, 0.500).

***

It turns out i is the most stable, with the second structure 2.9 kJ/mol of atoms higher.

***

i:
This record from Alexandria describes Ba2Li2Br after structural relaxation. The functional is GGA-PBE.

The space group is I4/mmm (No. 139) and the conventional cell measures 6.970, 6.970 and 7.780 Å, with angles of 90.00, 90.00 and 90.00 degrees. The asymmetric unit holds Ba at (0.000, 0.500, 0.250), Li at (0.000, 0.000, 0.164) and Br at (0.000, 0.000, 0.500).

***

ii:
This record from Alexandria describes Ba2Li2Br after structural relaxation. The functional is GGA-PBE.

The space group is P4/mbm (No. 127) and the conventional cell measures 9.195, 9.195 and 5.242 Å, with angles of 90.00, 90.00 and 90.00 degrees. The asymmetric unit holds Ba at (0.182, 0.318, 0.000), Li at (0.107, 0.607, 0.500) and Br at (0.000, 0.000, 0.000).

***

It turns out ii is the most stable, with the second structure 13.8 kJ/mol of atoms higher.

***

i:
This record from Alexandria describes Ba2LiNiBr after structural relaxation. The functional is GGA-PBE.

The space group is P4/mmm (No. 123) and the conventional cell measures 6.385, 6.385 and 4.541 Å, with angles of 90.00, 90.00 and 90.00 degrees. The asymmetric unit holds Ba at (0.000, 0.500, 0.000), Li at (0.000, 0.000, 0.500), Ni at (0.500, 0.500, 0.500) and Br at (0.500, 0.500, 0.000).

***

ii:
This record from Alexandria describes Ba2LiNiBr after structural relaxation. The functional is GGA-PBE.

The space group is P4/mmm (No. 123) and the conventional cell measures 6.265, 6.265 and 4.573 Å, with angles of 90.00, 90.00 and 90.00 degrees. The asymmetric unit holds Ba at (0.000, 0.500, 0.000), Li at (0.000, 0.000, 0.500), Ni at (0.500, 0.500, 0.500) and Br at (0.000, 0.000, 0.000).

***

It turns out i is the most stable, with the second structure 1.1 kJ/mol of atoms higher.